[1]
Here is a relaxed NaLaZrSnO6 crystal from the Alexandria database. Energies are from PBE.

Cell: 5.821 5.821 5.821 Å, 60.00 60.00 60.00°
Positions (direct):
Na: 0.750 0.750 0.750
La: 0.250 0.250 0.250
Zr: 0.500 0.500 0.500
Sn: 0.000 0.000 0.000
O: 0.248 0.752 0.248
O: 0.752 0.248 0.752
O: 0.248 0.752 0.752
O: 0.752 0.248 0.248
O: 0.248 0.248 0.752
O: 0.752 0.752 0.248

Computed properties:
Its space group is F-43m. The density is 5.57 g/cm³. The total moment is 0.00 μB per formula unit. Its total energy is -73.728 eV/cell. The calculation puts the uncorrected formation energy at -2518 meV per atom.



[2]
Here is a relaxed Tb5PmTm6 crystal from the Alexandria database. Energies are from PBE.

Cell: 10.034 10.034 5.726 Å, 106.58 106.58 124.21°
Positions (direct):
Tm: 0.431 0.069 0.250
Tm: 0.931 0.569 0.750
Tm: 0.250 0.250 0.750
Tm: 0.750 0.750 0.250
Tm: 0.069 0.431 0.250
Tm: 0.569 0.931 0.750
Tb: 0.846 0.154 0.500
Tb: 0.653 0.347 0.000
Tb: 0.500 0.500 0.500
Tb: 0.347 0.653 0.000
Tb: 0.154 0.846 0.500
Pm: 0.000 0.000 0.000

Computed properties:
Its space group is Immm. The density is 8.58 g/cm³. The total moment is 0.00 μB per formula unit. For the energy relative to the lowest polymorph listed for this composition, the calculation gives 0.0874 eV per atom. Its formation enthalpy at 0 K is 0.107 eV/atom. Its total energy is -53.443 eV/cell.



[3]
Here is a relaxed SrNd2Er crystal from the Alexandria database. Energies are from PBE.

Cell: 4.108 4.108 9.179 Å, 90.00 90.00 90.00°
Positions (direct):
Sr: 0.500 0.500 0.500
Nd: 0.000 0.000 0.795
Nd: 0.000 0.000 0.205
Er: 0.500 0.500 0.000

Computed properties:
Its space group is P4/mmm. The density is 5.83 g/cm³. The total moment is 0.00 μB per formula unit. For the energy relative to the lowest polymorph listed for this composition, the calculation gives 0.0159 eV per atom. Its formation enthalpy at 0 K is 0.114 eV/atom. Its total energy is -15.323 eV/cell.



[4]
Here is a relaxed SmEr3S4 crystal from the Alexandria database. Energies are from PBE.

Cell: 5.520 5.520 5.520 Å, 90.00 90.00 90.00°
Positions (direct):
Sm: 0.000 0.000 0.000
Er: 0.000 0.500 0.500
Er: 0.500 0.000 0.500
Er: 0.500 0.500 0.000
S: 0.500 0.000 0.000
S: 0.000 0.500 0.000
S: 0.000 0.000 0.500
S: 0.500 0.500 0.500

Computed properties:
Its space group is Pm-3m. The density is 7.70 g/cm³. The total moment is 0.00 μB per formula unit. For the energy relative to the lowest polymorph listed for this composition, the calculation gives 0.0208 eV per atom. Its total energy is -50.485 eV/cell. The calculation puts the uncorrected formation energy at -1946 meV per atom.



[5]
Here is a relaxed CdPbAu3 crystal from the Alexandria database. Energies are from PBE.

Cell: 7.985 6.786 9.051 Å, 115.24 90.00 90.00°
Positions (direct):
Cd: 0.303 0.879 0.453
Cd: 0.697 0.121 0.547
Cd: 0.803 0.121 0.047
Cd: 0.197 0.879 0.953
Pb: 0.935 0.743 0.179
Pb: 0.065 0.257 0.821
Pb: 0.435 0.257 0.321
Pb: 0.565 0.743 0.679
Au: 0.048 0.165 0.449
Au: 0.952 0.835 0.551
Au: 0.548 0.835 0.051
Au: 0.452 0.165 0.949
Au: 0.596 0.663 0.285
Au: 0.404 0.337 0.715
Au: 0.096 0.337 0.215
Au: 0.904 0.663 0.785
Au: 0.209 0.585 0.596
Au: 0.791 0.415 0.404
Au: 0.709 0.415 0.904
Au: 0.291 0.585 0.096

Computed properties:
Its space group is P2_1/c. The density is 13.63 g/cm³. The total moment is 0.00 μB per formula unit. For the energy relative to the lowest polymorph listed for this composition, the calculation gives 0.0000 eV per atom. Its formation enthalpy at 0 K is -0.065 eV/atom. Its total energy is -59.113 eV/cell.



[6]
Here is a relaxed RbHfTa3 crystal from the Alexandria database. Energies are from PBE.

Cell: 4.814 4.814 4.814 Å, 90.00 90.00 90.00°
Positions (direct):
Hf: 0.500 0.500 0.500
Rb: 0.000 0.000 0.000
Ta: 0.000 0.500 0.000
Ta: 0.000 0.000 0.500
Ta: 0.500 0.000 0.000

Computed properties:
Its space group is Pm-3m. The density is 12.01 g/cm³. The total moment is 0.00 μB per formula unit. For the energy relative to the lowest polymorph listed for this composition, the calculation gives 0.7457 eV per atom. Its formation enthalpy at 0 K is 2.831 eV/atom. Its total energy is -32.322 eV/cell.



[7]
Here is a relaxed TbScV crystal from the Alexandria database. Energies are from PBE.

Cell: 5.022 5.896 6.328 Å, 122.16 90.00 115.21°
Positions (direct):
V: 0.655 0.310 0.760
V: 0.259 0.517 0.910
Tb: 0.965 0.929 0.342
Tb: 0.604 0.208 0.199
Sc: 0.953 0.906 0.824
Sc: 0.321 0.642 0.471

Computed properties:
Its space group is Cm. The density is 6.17 g/cm³. The total moment is 1.71 μB per formula unit. Its formation enthalpy at 0 K is 0.345 eV/atom. Its total energy is -38.090 eV/cell.



[8]
Here is a relaxed Li2NpRhO5 crystal from the Alexandria database. Energies are from PBE.

Cell: 6.531 5.659 5.659 Å, 90.00 90.00 90.00°
Positions (direct):
Li: 0.500 0.750 0.250
Li: 0.500 0.250 0.250
Li: 0.500 0.750 0.750
Li: 0.500 0.250 0.750
Np: 0.000 0.000 0.500
Np: 0.000 0.500 0.000
Rh: 0.000 0.500 0.500
Rh: 0.000 0.000 0.000
O: 0.500 0.500 0.500
O: 0.500 0.000 0.000
O: 0.181 0.250 0.750
O: 0.181 0.750 0.250
O: 0.181 0.250 0.250
O: 0.181 0.750 0.750
O: 0.819 0.250 0.750
O: 0.819 0.750 0.750
O: 0.819 0.750 0.250
O: 0.819 0.250 0.250

Computed properties:
Its space group is P4/mmm. The density is 6.89 g/cm³. The total moment is 3.54 μB per formula unit. Its total energy is -122.692 eV/cell. The calculation puts the uncorrected formation energy at -1382 meV per atom.